(1)
Here is YNbVOs2 after structural relaxation from Alexandria via LeMat-Bulk. Energies are from GGA-PBE.

Its crystal system is tetragonal. The density of states at the Fermi level comes out at 7.12 states/eV/cell. Its energy relative to the elements is 9.0 eV per formula unit. For the magnetization, the calculation gives 0.08 μB per formula unit. The symmetry is P4/mmm, No. 123. The uncorrected energy comes out at -7.8163 eV per atom.

abc: 4.760 5.053 4.760
angles: 90.00 90.00 90.00
Site moments in Bohr magnetons follow the coordinates.
Fractional positions:
V1 0.500 0.500 0.500  0.36
Os1 0.000 0.000 0.500  -0.13
Os2 0.500 0.000 0.000  -0.13
Y1 0.000 0.500 0.000  -0.04
Nb1 0.000 0.000 0.000  -0.01

---

(2)
Here is YNb2VOs after structural relaxation from Alexandria via LeMat-Bulk. Energies are from GGA-PBE.

Its crystal system is tetragonal. The density of states at the Fermi level comes out at 7.17 states/eV/cell. Its energy relative to the elements is 3.4 eV per formula unit. For the magnetization, the calculation gives 0.00 μB per formula unit. The symmetry is P4/mmm, No. 123. The uncorrected energy comes out at -8.7017 eV per atom.

abc: 4.954 4.633 4.954
angles: 90.00 90.00 90.00
Fractional positions:
Nb1 0.500 0.000 0.000
Nb2 0.000 0.000 0.500
Y1 0.500 0.500 0.500
V1 0.000 0.500 0.000
Os1 0.000 0.000 0.000

---

(3)
Here is NbVZnOs after structural relaxation from Alexandria via LeMat-Bulk. Energies are from GGA-PBE.

Its crystal system is cubic. The density of states at the Fermi level comes out at 2.82 states/eV/cell. Its energy relative to the elements is -0.2 eV per formula unit. For the magnetization, the calculation gives 2.00 μB per formula unit. The symmetry is F-43m, No. 216. The uncorrected energy comes out at -7.9737 eV per atom.

abc: 4.411 4.411 4.411
angles: 60.00 60.00 60.00
Site moments in Bohr magnetons follow the coordinates.
Fractional positions:
Os1 0.000 0.000 0.000  0.00
Nb1 0.250 0.250 0.250  0.03
Zn1 0.750 0.750 0.750  0.00
V1 0.500 0.500 0.500  1.76

---

(4)
Here is Nb2V2ZnOs5 after structural relaxation from Alexandria via LeMat-Bulk. Energies are from GGA-PBE.

Its crystal system is tetragonal. The density of states at the Fermi level comes out at 18.00 states/eV/cell. Its energy relative to the elements is 0.9 eV per formula unit. For the magnetization, the calculation gives 0.00 μB per formula unit. The symmetry is P4/mbm, No. 127. The uncorrected energy comes out at -9.4876 eV per atom.

abc: 3.943 8.853 8.853
angles: 90.00 90.00 90.00
Fractional positions:
Zn1 0.000 0.500 0.500
Zn2 0.000 0.000 0.000
Nb1 0.000 0.315 0.815
Nb2 0.000 0.685 0.185
Nb3 0.000 0.815 0.685
Nb4 0.000 0.185 0.315
Os1 0.500 0.201 0.055
Os2 0.500 0.299 0.555
Os3 0.500 0.555 0.701
Os4 0.500 0.000 0.500
Os5 0.500 0.500 0.000
Os6 0.500 0.055 0.799
Os7 0.500 0.945 0.201
Os8 0.500 0.445 0.299
Os9 0.500 0.701 0.445
Os10 0.500 0.799 0.945
V1 0.000 0.383 0.117
V2 0.000 0.117 0.617
V3 0.000 0.883 0.383
V4 0.000 0.617 0.883

---

(5)
Here is Nb6OsW5 after structural relaxation from Alexandria via LeMat-Bulk. Energies are from GGA-PBE.

Its crystal system is orthorhombic. The density of states at the Fermi level comes out at 5.78 states/eV/cell. Its energy relative to the elements is -1.4 eV per formula unit. For the magnetization, the calculation gives 0.00 μB per formula unit. The symmetry is Immm, No. 71. The uncorrected energy comes out at -11.4830 eV per atom.

abc: 4.569 6.466 7.927
angles: 114.07 106.75 90.00
Fractional positions:
Nb1 0.500 0.250 0.000
Nb2 0.834 0.084 0.668
Nb3 0.166 0.916 0.332
Nb4 0.834 0.584 0.668
Nb5 0.166 0.416 0.332
Nb6 0.500 0.750 0.000
Os1 0.000 0.000 0.000
W1 0.000 0.500 0.000
W2 0.667 0.667 0.333
W3 0.333 0.333 0.667
W4 0.666 0.166 0.333
W5 0.334 0.834 0.667

---

(6)
Here is Nb6OsW after structural relaxation from Alexandria via LeMat-Bulk. Energies are from GGA-PBE.

Its crystal system is triclinic. The energy above the most stable polymorph in this dataset comes out at 0.33 eV per formula unit. The density of states at the Fermi level comes out at 8.15 states/eV/cell. Its energy relative to the elements is -0.9 eV per formula unit. For the magnetization, the calculation gives 0.00 μB per formula unit. The symmetry is P-1, No. 2. The uncorrected energy comes out at -10.6837 eV per atom.

abc: 7.356 7.361 5.205
angles: 45.04 45.03 59.95
Fractional positions:
Nb1 0.500 0.248 0.251
Nb2 0.000 0.500 0.252
Nb3 0.500 0.752 0.749
Nb4 0.752 0.000 0.748
Nb5 0.248 0.000 0.252
Nb6 0.000 0.500 0.748
W1 0.500 0.500 0.500
Os1 0.000 0.000 0.000

---

(7)
Here is NbOs5W after structural relaxation from Alexandria via LeMat-Bulk. Energies are from GGA-PBE.

Its crystal system is monoclinic. The density of states at the Fermi level comes out at 10.36 states/eV/cell. Its energy relative to the elements is 1.6 eV per formula unit. For the magnetization, the calculation gives 0.00 μB per formula unit. The symmetry is C2/c, No. 15. The uncorrected energy comes out at -11.0801 eV per atom.

abc: 5.029 5.029 9.354
angles: 104.20 104.20 96.59
Fractional positions:
Os1 0.003 0.407 0.349
Os2 0.538 0.240 0.463
Os3 0.852 0.148 0.750
Os4 0.148 0.852 0.250
Os5 0.593 0.997 0.151
Os6 0.997 0.593 0.651
Os7 0.240 0.538 0.963
Os8 0.407 0.003 0.849
Os9 0.760 0.462 0.037
Os10 0.462 0.760 0.537
Nb1 0.000 0.000 0.000
Nb2 0.000 0.000 0.500
W1 0.508 0.492 0.750
W2 0.492 0.508 0.250

---

(8)
Here is NbOsW2 after structural relaxation from Alexandria via LeMat-Bulk. Energies are from GGA-PBE.

Its crystal system is tetragonal. The energy above the most stable polymorph in this dataset comes out at 0.54 eV per formula unit. The density of states at the Fermi level comes out at 4.40 states/eV/cell. Its energy relative to the elements is 0.8 eV per formula unit. For the magnetization, the calculation gives 0.00 μB per formula unit. The symmetry is P4/mmm, No. 123. The uncorrected energy comes out at -11.5970 eV per atom.

abc: 4.381 3.870 3.870
angles: 90.00 90.00 90.00
Fractional positions:
Os1 0.500 0.500 0.500
W1 0.000 0.500 0.000
W2 0.000 0.000 0.500
Nb1 0.500 0.000 0.000